# 1
Compound: Tm2NpUAs4
Source: the Alexandria database
Functional: GGA-PBE
Structure: relaxed

Unit cell a=4.0598 b=7.0228 c=7.1123 alpha=109.24 beta=90.00 gamma=90.00
Each line ends with the local moment (μB).
Sites, in units of the cell vectors:
Tm: 0.5000 0.0000 0.5000  0.00
Tm: 0.0000 0.5000 0.5000  -0.02
Np: 0.0000 0.0000 0.0000  3.75
U: 0.5000 0.5000 0.0000  2.20
As: 0.5000 0.2518 0.2520  -0.06
As: 0.5000 0.7482 0.7480  -0.06
As: 0.0000 0.2505 0.7476  -0.05
As: 0.0000 0.7495 0.2524  -0.05

Calculated values
ΔH_f (0 K): -1105 meV/atom
DFT total energy: -60.61 eV for the cell shown



# 2
Compound: PmDySiPd
Source: the Alexandria database
Functional: GGA-PBE
Structure: relaxed

Unit cell a=4.0279 b=4.2403 c=5.8449 alpha=90.00 beta=110.16 gamma=90.00
Sites, in units of the cell vectors:
Pm: 0.8567 0.5000 0.7133
Dy: 0.1359 0.0000 0.2717
Si: 0.5789 0.5000 0.1578
Pd: 0.4286 0.0000 0.8571

Calculated values
excess energy over the best structure of this formula in the dataset: 0 meV per atom
E_form (uncorrected): -800 meV/atom
DFT total energy: -23.17 eV for the cell shown



# 3
Compound: MgRh2Se
Source: the Alexandria database
Functional: GGA-PBE
Structure: relaxed

Unit cell a=5.0797 b=5.0797 c=5.0797 alpha=136.17 beta=136.17 gamma=63.72
Sites, in units of the cell vectors:
Mg: 0.7500 0.2500 0.5000
Rh: 0.0000 0.0000 0.0000
Rh: 0.2500 0.7500 0.5000
Se: 0.5000 0.5000 0.0000

Calculated values
E_form (uncorrected): -202 meV/atom
DFT total energy: -20.59 eV for the cell shown



# 4
Compound: Mo2C
Source: the Alexandria database
Functional: GGA-PBE
Structure: relaxed

Unit cell a=5.3669 b=5.3669 c=8.8077 alpha=90.00 beta=90.00 gamma=120.00
Sites, in units of the cell vectors:
Mo: 0.0000 0.0000 0.0000
Mo: 0.0000 0.0000 0.5000
Mo: 0.8330 0.6660 0.2500
Mo: 0.1670 0.3340 0.7500
Mo: 0.3340 0.1670 0.2500
Mo: 0.8330 0.1670 0.2500
Mo: 0.1670 0.8330 0.7500
Mo: 0.6660 0.8330 0.7500
C: 0.3333 0.6667 0.9058
C: 0.6667 0.3333 0.4058
C: 0.6667 0.3333 0.0942
C: 0.3333 0.6667 0.5942

Calculated values
ΔH_f (0 K): 1826 meV/atom
DFT total energy: -101.63 eV for the cell shown



# 5
Compound: KNa6In
Source: the Alexandria database
Functional: GGA-PBE
Structure: relaxed

Unit cell a=5.6199 b=5.6199 c=9.3201 alpha=90.00 beta=90.00 gamma=90.00
Sites, in units of the cell vectors:
K: 0.0000 0.0000 0.0000
Na: 0.5000 0.5000 0.0000
Na: 0.5000 0.5000 0.5000
Na: 0.5000 0.0000 0.2944
Na: 0.5000 0.0000 0.7056
Na: 0.0000 0.5000 0.2944
Na: 0.0000 0.5000 0.7056
In: 0.0000 0.0000 0.5000

Calculated values
ΔH_f (0 K): -13 meV/atom
DFT total energy: -11.85 eV for the cell shown



# 6
Compound: AgIrS
Source: the Alexandria database
Functional: GGA-PBE
Structure: relaxed

Unit cell a=2.9976 b=6.1340 c=6.7231 alpha=64.24 beta=77.12 gamma=75.86
Sites, in units of the cell vectors:
Ir: 0.3911 0.7312 0.4865
Ir: 0.6089 0.2688 0.5135
S: 0.8368 0.0353 0.2910
S: 0.1632 0.9647 0.7090
Ag: 0.6294 0.6458 0.0954
Ag: 0.3706 0.3542 0.9046

Calculated values
E_form (uncorrected): 234 meV/atom
DFT total energy: -30.28 eV for the cell shown



# 7
Compound: Ba2CeF6
Source: the Alexandria database
Functional: GGA-PBE
Structure: relaxed

Unit cell a=5.7849 b=5.7849 c=12.5743 alpha=90.00 beta=90.00 gamma=90.00
Each line ends with the local moment (μB).
Sites, in units of the cell vectors:
Ba: 0.0000 0.0000 0.3319  0.01
Ba: 0.5000 0.5000 0.8319  0.01
Ba: 0.5000 0.5000 0.1681  0.01
Ba: 0.0000 0.0000 0.6681  0.01
Ce: 0.0000 0.0000 0.0000  1.24
Ce: 0.5000 0.5000 0.5000  1.24
F: 0.3207 0.3207 0.3492  0.00
F: 0.6793 0.6793 0.3492  0.00
F: 0.1793 0.8207 0.8492  0.00
F: 0.8207 0.1793 0.8492  0.00
F: 0.1793 0.8207 0.1508  0.00
F: 0.8207 0.1793 0.1508  0.00
F: 0.3207 0.3207 0.6508  0.00
F: 0.6793 0.6793 0.6508  0.00
F: 0.2949 0.2949 0.0000  0.00
F: 0.7051 0.7051 0.0000  0.00
F: 0.2051 0.7949 0.5000  0.00
F: 0.7949 0.2051 0.5000  0.00

Calculated values
E_form (uncorrected): -3606 meV/atom
DFT total energy: -106.93 eV for the cell shown



# 8
Compound: CoPt2Br
Source: the Alexandria database
Functional: GGA-PBE
Structure: relaxed

Unit cell a=4.2605 b=3.9065 c=3.9065 alpha=90.00 beta=90.00 gamma=90.00
Each line ends with the local moment (μB).
Sites, in units of the cell vectors:
Br: 0.5000 0.5000 0.0000  0.16
Co: 0.5000 0.0000 0.5000  2.09
Pt: 0.0000 0.0000 0.0000  0.29
Pt: 0.0000 0.5000 0.5000  0.29

Calculated values
excess energy over the best structure of this formula in the dataset: 410 meV per atom
E_form (uncorrected): 703 meV/atom
DFT total energy: -18.05 eV for the cell shown



# 9
Compound: Tb7Pm12Pr
Source: the Alexandria database
Functional: GGA-PBE
Structure: relaxed

Unit cell a=9.9852 b=9.9852 c=9.9852 alpha=109.47 beta=109.47 gamma=109.47
Sites, in units of the cell vectors:
Tb: 0.5000 0.5000 0.0000
Tb: 0.0000 0.5000 0.5000
Tb: 0.5000 0.0000 0.5000
Tb: 0.5000 0.5000 0.5000
Tb: 0.0000 0.0000 0.5000
Tb: 0.5000 0.0000 0.0000
Tb: 0.0000 0.5000 0.0000
Pm: 0.4948 0.7472 0.7476
Pm: 0.9996 0.7472 0.2524
Pm: 0.5052 0.2528 0.2524
Pm: 0.0004 0.2528 0.7476
Pm: 0.7476 0.0004 0.2528
Pm: 0.7476 0.4948 0.7472
Pm: 0.2524 0.9996 0.7472
Pm: 0.2524 0.5052 0.2528
Pm: 0.7472 0.7476 0.4948
Pm: 0.2528 0.2524 0.5052
Pm: 0.7472 0.2524 0.9996
Pm: 0.2528 0.7476 0.0004
Pr: 0.0000 0.0000 0.0000

Calculated values
excess energy over the best structure of this formula in the dataset: 552 meV per atom
ΔH_f (0 K): 650 meV/atom
DFT total energy: -81.19 eV for the cell shown



# 10
Compound: Ba3Ag4Pd4
Source: the Alexandria database
Functional: GGA-PBE
Structure: relaxed

Unit cell a=7.2189 b=7.2189 c=7.2189 alpha=109.47 beta=109.47 gamma=109.47
Sites, in units of the cell vectors:
Ba: 0.5000 0.5000 0.0000
Ba: 0.5000 0.0000 0.5000
Ba: 0.0000 0.5000 0.5000
Ag: 0.0000 0.6042 0.0000
Ag: 0.6042 0.0000 0.0000
Ag: 0.0000 0.0000 0.6042
Ag: 0.3958 0.3958 0.3958
Pd: 0.0000 0.2368 0.0000
Pd: 0.0000 0.0000 0.2368
Pd: 0.2368 0.0000 0.0000
Pd: 0.7632 0.7632 0.7632

Calculated values
ΔH_f (0 K): -318 meV/atom
DFT total energy: -41.45 eV for the cell shown



# 11
Compound: VIn2Ir
Source: the Alexandria database
Functional: GGA-PBE
Structure: relaxed

Unit cell a=7.7122 b=7.7122 c=6.1025 alpha=50.81 beta=50.81 gamma=90.00
Each line ends with the local moment (μB).
Sites, in units of the cell vectors:
Ir: 0.0000 0.0000 0.0000  -0.11
Ir: 0.7500 0.2500 0.5000  -0.11
In: 0.6510 0.1250 0.2500  -0.03
In: 0.0990 0.6250 0.2500  -0.03
In: 0.3750 0.3490 0.7500  -0.03
In: 0.8750 0.9010 0.7500  -0.03
V: 0.5000 0.5000 0.0000  2.16
V: 0.2500 0.7500 0.5000  2.16

Calculated values
excess energy over the best structure of this formula in the dataset: 458 meV per atom
ΔH_f (0 K): 498 meV/atom
DFT total energy: -42.93 eV for the cell shown



# 12
Compound: UTl3Pt2S6
Source: the Alexandria database
Functional: GGA-PBE
Structure: relaxed

Unit cell a=6.2034 b=6.2034 c=8.5394 alpha=96.89 beta=96.89 gamma=119.94
Each line ends with the local moment (μB).
Sites, in units of the cell vectors:
U: 0.0000 0.0000 0.0000  1.44
Tl: 0.1677 0.8323 0.5000  0.00
Tl: 0.8323 0.1677 0.5000  0.00
Tl: 0.5000 0.5000 0.5000  0.00
Pt: 0.3333 0.6667 0.0000  0.05
Pt: 0.6667 0.3333 0.0000  0.05
S: 0.9418 0.5820 0.8245  -0.01
S: 0.6987 0.6987 0.1754  -0.01
S: 0.0582 0.4180 0.1755  -0.01
S: 0.5820 0.9418 0.8245  -0.01
S: 0.3013 0.3013 0.8246  -0.01
S: 0.4180 0.0582 0.1755  -0.01

Calculated values
E_form (uncorrected): -544 meV/atom
DFT total energy: -61.76 eV for the cell shown



# 13
Compound: Li3TbPd3
Source: the Alexandria database
Functional: GGA-PBE
Structure: relaxed

Unit cell a=6.3874 b=6.3874 c=6.3874 alpha=90.00 beta=90.00 gamma=90.00
Sites, in units of the cell vectors:
Tb: 0.5000 0.5000 0.5000
Tb: 0.0000 0.0000 0.0000
Pd: 0.2500 0.0000 0.5000
Pd: 0.0000 0.5000 0.2500
Pd: 0.5000 0.7500 0.0000
Pd: 0.7500 0.0000 0.5000
Pd: 0.0000 0.5000 0.7500
Pd: 0.5000 0.2500 0.0000
Li: 0.0000 0.2500 0.5000
Li: 0.0000 0.7500 0.5000
Li: 0.5000 0.0000 0.7500
Li: 0.7500 0.5000 0.0000
Li: 0.5000 0.0000 0.2500
Li: 0.2500 0.5000 0.0000

Calculated values
excess energy over the best structure of this formula in the dataset: 443 meV per atom
ΔH_f (0 K): 20 meV/atom
DFT total energy: -51.62 eV for the cell shown



# 14
Compound: K4Np3SbS8
Source: the Alexandria database
Functional: GGA-PBE
Structure: relaxed

Unit cell a=8.2069 b=8.7386 c=8.2071 alpha=118.00 beta=120.00 gamma=90.00
Each line ends with the local moment (μB).
Sites, in units of the cell vectors:
K: 0.5000 0.0000 0.0000  0.00
K: 0.5000 0.0000 0.5000  0.00
K: 0.0000 0.0000 0.0000  0.00
K: 0.0000 0.0000 0.5000  0.00
Np: 0.5000 0.5000 0.0000  3.88
Np: 0.5000 0.5000 0.5000  3.88
Np: 0.0000 0.5000 0.5000  3.88
Sb: 0.0000 0.5000 0.0000  0.04
S: 0.2354 0.7022 0.9668  -0.05
S: 0.2353 0.7022 0.4706  -0.05
S: 0.2669 0.3005 0.5337  -0.08
S: 0.7315 0.7022 0.9668  -0.05
S: 0.2685 0.2978 0.0332  -0.05
S: 0.7331 0.6995 0.4663  -0.08
S: 0.7647 0.2978 0.5294  -0.05
S: 0.7646 0.2978 0.0332  -0.05

Calculated values
E_form (uncorrected): -1212 meV/atom
DFT total energy: -99.75 eV for the cell shown



# 15
Compound: Dy6HgPt
Source: the Alexandria database
Functional: GGA-PBE
Structure: relaxed

Unit cell a=6.9696 b=6.9976 c=7.3305 alpha=61.75 beta=61.93 gamma=59.98
Sites, in units of the cell vectors:
Dy: 0.0472 0.4260 0.7536
Dy: 0.7727 0.0442 0.7529
Dy: 0.5735 0.2254 0.2473
Dy: 0.2273 0.9558 0.2471
Dy: 0.9528 0.5740 0.2464
Dy: 0.4265 0.7746 0.7527
Hg: 0.5000 0.5000 0.5000
Pt: 0.0000 0.0000 0.0000

Calculated values
ΔH_f (0 K): -216 meV/atom
DFT total energy: -35.69 eV for the cell shown



# 16
Compound: Mg3Ag6Sn2
Source: the Alexandria database
Functional: GGA-PBE
Structure: relaxed

Unit cell a=3.6408 b=5.0007 c=13.5392 alpha=90.93 beta=89.92 gamma=111.21
Sites, in units of the cell vectors:
Mg: 0.0000 0.0000 0.0000
Mg: 0.8472 0.7052 0.3488
Mg: 0.1528 0.2948 0.6512
Ag: 0.2963 0.5917 0.9255
Ag: 0.5888 0.1734 0.8410
Ag: 0.7037 0.4083 0.0745
Ag: 0.4112 0.8266 0.1590
Ag: 0.8589 0.7133 0.5505
Ag: 0.1411 0.2867 0.4495
Sn: 0.1257 0.2549 0.2397
Sn: 0.8743 0.7451 0.7603

Calculated values
ΔH_f (0 K): -68 meV/atom
DFT total energy: -30.65 eV for the cell shown



# 17
Compound: NaSr5Cd4
Source: the Alexandria database
Functional: GGA-PBE
Structure: relaxed

Unit cell a=4.0703 b=4.0703 c=21.5629 alpha=90.00 beta=90.00 gamma=90.00
Sites, in units of the cell vectors:
Na: 0.0000 0.0000 0.0000
Sr: 0.5000 0.5000 0.1261
Sr: 0.5000 0.5000 0.3119
Sr: 0.5000 0.5000 0.5000
Sr: 0.5000 0.5000 0.6881
Sr: 0.5000 0.5000 0.8739
Cd: 0.0000 0.0000 0.2157
Cd: 0.0000 0.0000 0.4063
Cd: 0.0000 0.0000 0.5937
Cd: 0.0000 0.0000 0.7843

Calculated values
ΔH_f (0 K): -269 meV/atom
DFT total energy: -16.08 eV for the cell shown



# 18
Compound: BeCd2Hg
Source: the Alexandria database
Functional: GGA-PBE
Structure: relaxed

Unit cell a=4.8078 b=4.8078 c=4.8078 alpha=60.00 beta=60.00 gamma=60.00
Sites, in units of the cell vectors:
Be: 0.5000 0.5000 0.5000
Hg: 0.7500 0.7500 0.7500
Cd: 0.0000 0.0000 0.0000
Cd: 0.2500 0.2500 0.2500

Calculated values
excess energy over the best structure of this formula in the dataset: 241 meV per atom
ΔH_f (0 K): 449 meV/atom
DFT total energy: -4.06 eV for the cell shown



# 19
Compound: Ca2AsH
Source: the Alexandria database
Functional: GGA-PBE
Structure: relaxed

Unit cell a=4.9110 b=4.9110 c=4.9110 alpha=60.00 beta=60.00 gamma=60.00
Sites, in units of the cell vectors:
H: 0.0000 0.0000 0.0000
As: 0.5000 0.5000 0.5000
Ca: 0.2500 0.2500 0.2500
Ca: 0.7500 0.7500 0.7500

Calculated values
excess energy over the best structure of this formula in the dataset: 183 meV per atom
DFT total energy: -15.08 eV for the cell shown



# 20
Compound: Dy6Y4Th
Source: the Alexandria database
Functional: GGA-PBE
Structure: relaxed

Unit cell a=6.6189 b=6.6189 c=9.6614 alpha=110.03 beta=110.03 gamma=90.00
Sites, in units of the cell vectors:
Dy: 0.8588 0.4840 0.3427
Dy: 0.4840 0.8588 0.3427
Dy: 0.5160 0.5160 0.6573
Dy: 0.0000 0.5000 0.0000
Dy: 0.1412 0.1412 0.6573
Dy: 0.5000 0.0000 0.0000
Y: 0.0543 0.6855 0.7398
Y: 0.9457 0.9457 0.2602
Y: 0.6855 0.0543 0.7398
Y: 0.3145 0.3145 0.2602
Th: 0.5000 0.5000 0.0000

Calculated values
excess energy over the best structure of this formula in the dataset: 159 meV per atom
ΔH_f (0 K): 329 meV/atom
DFT total energy: -57.27 eV for the cell shown